# 1
{
  "formula": "CdAg2Ir",
  "functional": "PBE",
  "state": "optimized geometry",
  "e_tot_ev_per_atom": -3.621,
  "e_form_ev_per_atom": 0.249,
  "rho_g_cm3": 12.436,
  "dos_at_fermi_per_ev_cell": 3.6,
  "volume_a3_per_atom": 17.37,
  "lattice": [[5.039, -0.009, 0.035], [4.193, 2.796, 0.035], [0.899, 0.271, 4.925]],
  "species": ["Ag", "Ag", "Cd", "Ir"],
  "frac_coords": [[0.749, 0.749, 0.761], [0.996, 0.996, 0.996], [0.505, 0.505, 0.484], [0.251, 0.251, 0.259]]
}


# 2
{
  "formula": "CdAgIr3",
  "functional": "PBE",
  "state": "optimized geometry",
  "relative_energy_ev_per_fu": 0.00,
  "e_tot_ev_per_atom": -3.906,
  "e_form_ev_per_atom": 2.164,
  "rho_g_cm3": 11.780,
  "dos_at_fermi_per_ev_cell": 8.7,
  "volume_a3_per_atom": 22.47,
  "lattice": [[4.825, 0.000, 0.000], [0.000, 4.825, 0.000], [0.000, 0.000, 4.825]],
  "species": ["Ag", "Ir", "Ir", "Ir", "Cd"],
  "frac_coords": [[0.000, 0.000, 0.000], [0.000, 0.000, 0.500], [0.500, 0.000, 0.000], [0.000, 0.500, 0.000], [0.500, 0.500, 0.500]]
}


# 3
{
  "formula": "La2CdAgIr",
  "functional": "PBE",
  "state": "optimized geometry",
  "relative_energy_ev_per_fu": 0.00,
  "e_tot_ev_per_atom": -4.990,
  "e_form_ev_per_atom": -0.494,
  "rho_g_cm3": 8.653,
  "dos_at_fermi_per_ev_cell": 6.0,
  "volume_a3_per_atom": 26.49,
  "lattice": [[4.320, 0.000, 0.000], [0.000, 8.272, 0.338], [0.000, -3.027, 7.291]],
  "species": ["La", "La", "La", "La", "Ir", "Ir", "Ag", "Ag", "Cd", "Cd"],
  "frac_coords": [[0.250, 0.273, 0.970], [0.750, 0.885, 0.653], [0.250, 0.115, 0.347], [0.750, 0.727, 0.030], [0.250, 0.883, 0.895], [0.750, 0.117, 0.105], [0.750, 0.311, 0.672], [0.250, 0.689, 0.328], [0.750, 0.455, 0.347], [0.250, 0.545, 0.653]]
}


# 4
{
  "formula": "La2CdAgIr",
  "functional": "PBE",
  "state": "optimized geometry",
  "relative_energy_ev_per_fu": 1.22,
  "e_tot_ev_per_atom": -4.746,
  "e_form_ev_per_atom": -0.249,
  "rho_g_cm3": 7.296,
  "dos_at_fermi_per_ev_cell": 3.0,
  "volume_a3_per_atom": 31.42,
  "lattice": [[5.455, 0.000, 0.000], [0.000, 5.455, 0.000], [0.000, 0.000, 5.280]],
  "species": ["La", "La", "Cd", "Ir", "Ag"],
  "frac_coords": [[0.000, 0.500, 0.000], [0.500, 0.000, 0.000], [0.500, 0.500, 0.500], [0.000, 0.000, 0.000], [0.000, 0.000, 0.500]]
}


# 5
{
  "formula": "La2CdAgIr",
  "functional": "PBE",
  "state": "optimized geometry",
  "relative_energy_ev_per_fu": 0.96,
  "e_tot_ev_per_atom": -4.798,
  "e_form_ev_per_atom": -0.302,
  "rho_g_cm3": 7.238,
  "dos_at_fermi_per_ev_cell": 2.4,
  "volume_a3_per_atom": 31.67,
  "lattice": [[5.497, 0.000, 0.000], [0.000, 5.497, 0.000], [0.000, 0.000, 5.242]],
  "species": ["La", "La", "Ag", "Cd", "Ir"],
  "frac_coords": [[0.500, 0.000, 0.000], [0.000, 0.500, 0.000], [0.500, 0.500, 0.500], [0.000, 0.000, 0.500], [0.000, 0.000, 0.000]]
}


# 6
{
  "formula": "LuCdAgIr",
  "functional": "PBE",
  "state": "optimized geometry",
  "e_tot_ev_per_atom": -4.641,
  "e_form_ev_per_atom": -0.354,
  "rho_g_cm3": 12.733,
  "dos_at_fermi_per_ev_cell": 1.2,
  "volume_a3_per_atom": 19.15,
  "lattice": [[-0.083, -2.835, -3.831], [-0.447, -4.716, 0.534], [-4.050, -2.170, -1.272]],
  "species": ["Ir", "Cd", "Lu", "Ag"],
  "frac_coords": [[0.500, 0.500, 0.500], [0.750, 0.750, 0.750], [0.250, 0.250, 0.250], [0.000, 0.000, 0.000]]
}


# 7
{
  "formula": "Cd2AgIrO6",
  "functional": "PBE",
  "state": "optimized geometry",
  "e_tot_ev_per_atom": -4.961,
  "formation_energy_uncorrected_ev_per_atom": -0.63,
  "rho_g_cm3": 7.734,
  "dos_at_fermi_per_ev_cell": 5.0,
  "volume_a3_per_atom": 13.33,
  "lattice": [[5.689, 0.000, 0.000], [2.844, 4.927, 0.000], [2.844, 1.642, 4.756]],
  "species": ["O", "O", "O", "O", "O", "O", "Ir", "Cd", "Cd", "Ag"],
  "frac_coords": [[0.412, 0.673, 0.777], [0.559, 0.213, 0.246], [0.213, 0.982, 0.246], [0.982, 0.559, 0.246], [0.137, 0.412, 0.777], [0.673, 0.137, 0.777], [0.321, 0.321, 0.038], [0.542, 0.542, 0.373], [0.026, 0.026, 0.922], [0.796, 0.796, 0.613]]
}


# 8
{
  "formula": "PrCdAgIr",
  "functional": "PBE",
  "state": "optimized geometry",
  "e_tot_ev_per_atom": -4.541,
  "e_form_ev_per_atom": -0.189,
  "rho_g_cm3": 10.693,
  "dos_at_fermi_per_ev_cell": 1.9,
  "volume_a3_per_atom": 21.48,
  "lattice": [[4.953, 0.000, 0.000], [2.477, 4.290, 0.000], [2.477, 1.430, 4.044]],
  "species": ["Pr", "Cd", "Ag", "Ir"],
  "frac_coords": [[0.250, 0.250, 0.250], [0.750, 0.750, 0.750], [0.000, 0.000, 0.000], [0.500, 0.500, 0.500]]
}


# 9
{
  "formula": "Cd2AgIrRu",
  "functional": "PBE",
  "state": "optimized geometry",
  "e_tot_ev_per_atom": -3.630,
  "e_form_ev_per_atom": 0.934,
  "rho_g_cm3": 8.421,
  "dos_at_fermi_per_ev_cell": 4.2,
  "volume_a3_per_atom": 24.69,
  "lattice": [[-4.597, 1.253, 1.945], [-0.660, -4.429, 1.293], [2.196, 1.000, 4.546]],
  "species": ["Cd", "Cd", "Ir", "Ag", "Ru"],
  "frac_coords": [[0.500, 0.000, 0.000], [0.000, 0.000, 0.500], [0.000, 0.000, 0.000], [0.500, 0.500, 0.500], [0.000, 0.500, 0.000]]
}


# 10
{
  "formula": "CdAgIr2Ru",
  "functional": "PBE",
  "state": "optimized geometry",
  "e_tot_ev_per_atom": -4.027,
  "e_form_ev_per_atom": 2.125,
  "rho_g_cm3": 10.373,
  "dos_at_fermi_per_ev_cell": 6.7,
  "volume_a3_per_atom": 22.60,
  "lattice": [[-1.951, -3.039, 3.253], [4.215, -2.212, 0.462], [1.211, 3.055, 3.580]],
  "species": ["Ir", "Ir", "Ru", "Ag", "Cd"],
  "frac_coords": [[0.000, 0.000, 0.500], [0.500, 0.000, 0.000], [0.000, 0.500, 0.000], [0.000, 0.000, 0.000], [0.500, 0.500, 0.500]]
}


# 11
{
  "formula": "TbCdAgIr",
  "functional": "PBE",
  "state": "optimized geometry",
  "e_tot_ev_per_atom": -4.619,
  "e_form_ev_per_atom": -0.304,
  "rho_g_cm3": 11.850,
  "dos_at_fermi_per_ev_cell": 1.3,
  "volume_a3_per_atom": 20.02,
  "lattice": [[4.838, 0.000, 0.000], [2.419, 4.190, 0.000], [2.419, 1.397, 3.950]],
  "species": ["Ir", "Ag", "Cd", "Tb"],
  "frac_coords": [[0.500, 0.500, 0.500], [0.000, 0.000, 0.000], [0.750, 0.750, 0.750], [0.250, 0.250, 0.250]]
}


# 12
{
  "formula": "Tb4CdAgIr2",
  "functional": "PBE",
  "state": "optimized geometry",
  "e_tot_ev_per_atom": -5.557,
  "e_form_ev_per_atom": -0.555,
  "rho_g_cm3": 11.468,
  "dos_at_fermi_per_ev_cell": 5.4,
  "volume_a3_per_atom": 22.45,
  "lattice": [[-1.424, -4.104, -2.544], [2.913, -4.106, 0.012], [-3.416, -5.493, 5.793]],
  "species": ["Ag", "Ir", "Ir", "Tb", "Tb", "Tb", "Tb", "Cd"],
  "frac_coords": [[0.500, 0.500, 0.500], [0.251, 0.251, 0.248], [0.749, 0.749, 0.752], [0.377, 0.377, 0.870], [0.623, 0.623, 0.130], [0.873, 0.873, 0.381], [0.127, 0.127, 0.619], [0.000, 0.000, 0.000]]
}


# 13
{
  "formula": "Th2CdAgIr",
  "functional": "PBE",
  "state": "optimized geometry",
  "e_tot_ev_per_atom": -5.822,
  "e_form_ev_per_atom": -0.328,
  "rho_g_cm3": 10.652,
  "dos_at_fermi_per_ev_cell": 7.3,
  "volume_a3_per_atom": 27.33,
  "lattice": [[4.238, 0.000, 0.000], [0.000, 7.202, 1.064], [0.000, -1.982, 8.663]],
  "species": ["Cd", "Cd", "Th", "Th", "Th", "Th", "Ir", "Ir", "Ag", "Ag"],
  "frac_coords": [[0.750, 0.260, 0.639], [0.250, 0.740, 0.361], [0.750, 0.826, 0.659], [0.750, 0.794, 0.072], [0.250, 0.206, 0.928], [0.250, 0.174, 0.341], [0.750, 0.205, 0.136], [0.250, 0.795, 0.864], [0.750, 0.495, 0.374], [0.250, 0.505, 0.626]]
}


# 14
{
  "formula": "ThCdAgIr",
  "functional": "PBE",
  "state": "optimized geometry",
  "e_tot_ev_per_atom": -5.274,
  "e_form_ev_per_atom": -0.262,
  "rho_g_cm3": 12.405,
  "dos_at_fermi_per_ev_cell": 3.5,
  "volume_a3_per_atom": 21.57,
  "lattice": [[-1.108, 1.316, -4.652], [2.640, -1.815, -3.786], [-2.041, -3.299, -3.091]],
  "species": ["Ir", "Th", "Ag", "Cd"],
  "frac_coords": [[0.500, 0.500, 0.500], [0.250, 0.250, 0.250], [0.000, 0.000, 0.000], [0.750, 0.750, 0.750]]
}


# 15
{
  "formula": "YCdAg2Ir",
  "functional": "PBE",
  "state": "optimized geometry",
  "e_tot_ev_per_atom": -3.319,
  "e_form_ev_per_atom": 1.070,
  "rho_g_cm3": 6.874,
  "dos_at_fermi_per_ev_cell": 4.0,
  "volume_a3_per_atom": 29.44,
  "lattice": [[5.425, 0.000, 0.000], [0.000, 5.001, 0.000], [0.000, 0.000, 5.425]],
  "species": ["Cd", "Y", "Ir", "Ag", "Ag"],
  "frac_coords": [[0.500, 0.500, 0.500], [0.000, 0.000, 0.000], [0.000, 0.500, 0.000], [0.500, 0.000, 0.000], [0.000, 0.000, 0.500]]
}


# 16
{
  "formula": "YCdAgIr",
  "functional": "PBE",
  "state": "optimized geometry",
  "e_tot_ev_per_atom": -5.078,
  "e_form_ev_per_atom": -0.305,
  "rho_g_cm3": 10.432,
  "dos_at_fermi_per_ev_cell": 1.4,
  "volume_a3_per_atom": 19.95,
  "lattice": [[4.833, 0.000, 0.000], [2.416, 4.185, 0.000], [2.416, 1.395, 3.946]],
  "species": ["Ir", "Ag", "Cd", "Y"],
  "frac_coords": [[0.500, 0.500, 0.500], [0.000, 0.000, 0.000], [0.250, 0.250, 0.250], [0.750, 0.750, 0.750]]
}


# 17
{
  "formula": "ZrCd2AgIr",
  "functional": "PBE",
  "state": "optimized geometry",
  "e_tot_ev_per_atom": -2.538,
  "e_form_ev_per_atom": 1.880,
  "rho_g_cm3": 6.784,
  "dos_at_fermi_per_ev_cell": 6.8,
  "volume_a3_per_atom": 30.16,
  "lattice": [[-4.756, 2.184, -1.413], [-2.074, -1.680, 4.383], [1.403, 4.633, 2.440]],
  "species": ["Cd", "Cd", "Ag", "Zr", "Ir"],
  "frac_coords": [[0.500, 0.000, 0.000], [0.000, 0.000, 0.500], [0.000, 0.500, 0.000], [0.000, 0.000, 0.000], [0.500, 0.500, 0.500]]
}


# 18
{
  "formula": "KCd2Ag5",
  "functional": "PBE",
  "state": "optimized geometry",
  "e_tot_ev_per_atom": -2.082,
  "e_form_ev_per_atom": 0.066,
  "rho_g_cm3": 7.013,
  "dos_at_fermi_per_ev_cell": 2.8,
  "volume_a3_per_atom": 23.77,
  "lattice": [[-3.339, 0.213, 2.652], [2.131, -2.802, 6.345], [1.666, 4.835, 5.147]],
  "species": ["Ag", "Ag", "Ag", "Ag", "Ag", "Cd", "Cd", "K"],
  "frac_coords": [[0.372, 0.813, 0.442], [0.372, 0.442, 0.813], [0.628, 0.558, 0.187], [0.000, 0.500, 0.500], [0.628, 0.187, 0.558], [0.251, 0.249, 0.249], [0.749, 0.751, 0.751], [0.000, 0.000, 0.000]]
}


# 19
{
  "formula": "K3Cd7Ag4",
  "functional": "PBE",
  "state": "optimized geometry",
  "e_tot_ev_per_atom": -1.557,
  "e_form_ev_per_atom": -0.049,
  "rho_g_cm3": 5.960,
  "dos_at_fermi_per_ev_cell": 5.3,
  "volume_a3_per_atom": 26.58,
  "lattice": [[0.123, 2.690, 4.052], [0.711, -5.979, 6.868], [8.930, -0.588, 3.040]],
  "species": ["Ag", "Ag", "Ag", "Ag", "Cd", "Cd", "Cd", "Cd", "Cd", "Cd", "Cd", "K", "K", "K"],
  "frac_coords": [[0.880, 0.906, 0.335], [0.120, 0.094, 0.665], [0.334, 0.541, 0.791], [0.666, 0.459, 0.209], [0.679, 0.169, 0.473], [0.501, 0.790, 0.208], [0.856, 0.369, 0.920], [0.000, 0.000, 0.000], [0.321, 0.831, 0.527], [0.144, 0.631, 0.080], [0.499, 0.210, 0.792], [0.696, 0.805, 0.804], [0.304, 0.195, 0.196], [0.000, 0.500, 0.500]]
}


# 20
{
  "formula": "K6CdAg3",
  "functional": "PBE",
  "state": "optimized geometry",
  "e_tot_ev_per_atom": -1.554,
  "e_form_ev_per_atom": 0.052,
  "rho_g_cm3": 2.896,
  "dos_at_fermi_per_ev_cell": 9.4,
  "volume_a3_per_atom": 38.45,
  "lattice": [[6.937, 0.000, 0.000], [0.000, 10.399, -0.029], [0.000, -0.047, 10.661]],
  "species": ["K", "K", "K", "K", "K", "K", "K", "K", "K", "K", "K", "K", "Ag", "Ag", "Ag", "Ag", "Ag", "Ag", "Cd", "Cd"],
  "frac_coords": [[0.055, 0.672, 0.575], [0.250, 0.331, 0.756], [0.432, 0.161, 0.423], [0.932, 0.339, 0.077], [0.750, 0.169, 0.744], [0.250, 0.831, 0.256], [0.445, 0.172, 0.075], [0.068, 0.661, 0.923], [0.568, 0.839, 0.577], [0.555, 0.828, 0.925], [0.945, 0.328, 0.425], [0.750, 0.669, 0.244], [0.500, 0.500, 0.000], [0.833, 0.013, 0.252], [0.333, 0.487, 0.248], [0.000, 0.000, 0.500], [0.667, 0.513, 0.752], [0.167, 0.987, 0.748], [0.500, 0.500, 0.500], [0.000, 0.000, 0.000]]
}